Entry 1:
# PBE LaTbZnHg, relaxed
data_LaTbZnHg
_chemical_formula_sum 'La4 Tb4 Zn4 Hg4'
_cell_length_a 7.531
_cell_length_b 7.531
_cell_length_c 7.531
_cell_angle_alpha 90.00
_cell_angle_beta 90.00
_cell_angle_gamma 90.00
_space_group_name_H-M_alt 'F -4 3 m'
_space_group_IT_number 216
_space_group_name_Hall 'F -4 2 3'
loop_
_atom_site_label
_atom_site_type_symbol
_atom_site_fract_x
_atom_site_fract_y
_atom_site_fract_z
_atom_site_occupancy
La1 La 0.000 0.000 0.000 1
Tb1 Tb 0.000 0.000 0.500 1
Zn1 Zn 0.250 0.250 0.750 1
Hg1 Hg 0.250 0.250 0.250 1
# - Energy above the lowest structure with this stoichiometry: 3.5 kJ per mole of atoms
# - E_form: -374 meV/atom
# - Final energy: -3.16 eV per atom



Entry 2:
# PBE LaTb2Zn2Hg2, relaxed
data_LaTb2Zn2Hg2
_chemical_formula_sum 'La3 Tb6 Zn6 Hg6'
_cell_length_a 4.7615
_cell_length_b 4.7615
_cell_length_c 27.5249
_cell_angle_alpha 90.00
_cell_angle_beta 90.00
_cell_angle_gamma 120.00
_space_group_name_H-M_alt 'R -3 m'
_space_group_IT_number 166
_space_group_name_Hall '-R 3 2"'
loop_
_atom_site_label
_atom_site_type_symbol
_atom_site_fract_x
_atom_site_fract_y
_atom_site_fract_z
_atom_site_occupancy
La1 La 0.0000 0.0000 0.0000 1
Tb1 Tb 0.0000 0.0000 0.1262 1
Zn1 Zn 0.0000 0.0000 0.4075 1
Hg1 Hg 0.0000 0.0000 0.2557 1
# - E_form: -306 meV/atom
# - Final energy: -2.78 eV per atom



Entry 3:
# PBE LaTbZnHg, relaxed
data_LaTbZnHg
_chemical_formula_sum 'La1 Tb1 Zn1 Hg1'
_cell_length_a 3.702
_cell_length_b 3.702
_cell_length_c 7.654
_cell_angle_alpha 90.00
_cell_angle_beta 90.00
_cell_angle_gamma 90.00
_space_group_name_H-M_alt 'P 4 m m'
_space_group_IT_number 99
_space_group_name_Hall 'P 4 -2'
loop_
_atom_site_label
_atom_site_type_symbol
_atom_site_fract_x
_atom_site_fract_y
_atom_site_fract_z
_atom_site_occupancy
La1 La 0.000 0.000 0.000 1
Tb1 Tb 0.000 0.000 0.466 1
Zn1 Zn 0.500 0.500 0.254 1
Hg1 Hg 0.500 0.500 0.709 1
# - Energy above the lowest structure with this stoichiometry: 0.0 kJ per mole of atoms
# - E_form: -410 meV/atom
# - Final energy: -3.19 eV per atom